Entry 1:
Crystalline AgPPt2Au at its relaxed geometry, computed with PBE-GGA.

Output
Crystal system ... tetragonal
Space-group type ... P4/mmm, No. 123
Formation energy ... 1.60 eV/atom

a = 4.9098 Å, b = 4.9167 Å, c = 4.9098 Å
α = 90.00°, β = 90.00°, γ = 90.00°
Last column: nearest neighbours and their distance in Å.
Element x y z (fractional)
Pt 0.5000 0.0000 0.0000  2 Ag 2.45
Pt 0.0000 0.0000 0.5000  2 Ag 2.45
Au 0.0000 0.5000 0.0000  2 Ag 2.46
Ag 0.0000 0.0000 0.0000  4 Pt 2.45, 2 Au 2.46
P 0.5000 0.5000 0.5000  4 Au 3.47, 8 Pt 3.47


Entry 2:
Crystalline TlCuPb2 at its relaxed geometry, computed with PBE-GGA.

Output
Crystal system ... tetragonal
Space-group type ... I-42d, No. 122
Formation energy ... 0.34 eV/atom

a = 5.2580 Å, b = 5.2580 Å, c = 9.6967 Å
α = 74.27°, β = 74.27°, γ = 90.00°
Last column: nearest neighbours and their distance in Å.
Element x y z (fractional)
Tl 0.7500 0.2500 0.5000  4 Pb 3.10
Tl 0.0000 0.0000 0.0000  4 Pb 3.10
Pb 0.1982 0.6250 0.2500  2 Cu 2.76
Pb 0.8750 0.8018 0.7500  2 Cu 2.76
Pb 0.3750 0.4482 0.7500  2 Cu 2.76
Pb 0.5518 0.1250 0.2500  2 Cu 2.76
Cu 0.5000 0.5000 0.0000  4 Pb 2.76
Cu 0.2500 0.7500 0.5000  4 Pb 2.76


Entry 3:
Crystalline TlCr2Os at its relaxed geometry, computed with PBE-GGA.

Output
Crystal system ... orthorhombic
Distance to the lowest polymorph of the same formula ... 343 meV/atom
Space-group type ... Immm, No. 71
Formation energy ... 0.83 eV/atom

a = 5.0837 Å, b = 5.0837 Å, c = 5.0837 Å
α = 143.21°, β = 129.01°, γ = 64.51°
Last column: nearest neighbours and their distance in Å.
Element x y z (fractional)
Tl 0.2500 0.7500 0.5000  4 Os 2.71, 8 Cr 2.76-3.00
Cr 0.9885 0.9885 0.0000  2 Os 2.60, 4 Cr 2.72, 2 Tl 2.76
Cr 0.5115 0.5115 0.0000  2 Os 2.60, 4 Cr 2.72, 2 Tl 2.76
Os 0.7500 0.2500 0.5000  4 Cr 2.60, 4 Tl 2.71


Entry 4:
Crystalline K2NaAc at its relaxed geometry, computed with PBE-GGA.

Output
Crystal system ... trigonal
Space-group type ... R-3m, No. 166
Formation energy ... 0.22 eV/atom

a = 3.9945 Å, b = 3.9945 Å, c = 15.0817 Å
α = 82.39°, β = 82.39°, γ = 60.00°
Last column: nearest neighbours and their distance in Å.
Element x y z (fractional)
K 0.0883 0.0883 0.7351  1 Ac 3.95, 6 K 3.99, 3 Na 4.20
K 0.9117 0.9117 0.2649  1 Ac 3.95, 6 K 3.99, 3 Na 4.20
Ac 0.0000 0.0000 0.0000  2 K 3.95, 6 Ac 3.99
Na 0.5000 0.5000 0.5000  6 Na 3.99, 6 K 4.20


Entry 5:
Crystalline TiZnTe at its relaxed geometry, computed with PBE-GGA.

Output
Energy relative to the elements, uncorrected ... -247.0 meV/atom
Crystal system ... monoclinic
Distance to the lowest polymorph of the same formula ... 141 meV/atom
Space-group type ... Cm, No. 8

a = 5.5295 Å, b = 3.6772 Å, c = 12.8099 Å
α = 90.00°, β = 107.58°, γ = 90.00°
Last column: nearest neighbours and their distance in Å.
Element x y z (fractional)
Te 0.6597 0.0000 0.1499  2 Zn 2.84-2.92, 4 Ti 2.86-2.89
Te 0.3877 0.0000 0.8405  4 Ti 2.67-2.92, 2 Zn 2.79
Te 0.6597 0.5000 0.6499  2 Zn 2.84-2.92, 4 Ti 2.86-2.89
Te 0.3877 0.5000 0.3405  4 Ti 2.67-2.92, 2 Zn 2.79
Ti 0.7383 0.0000 0.4890  4 Zn 2.68-2.90, 4 Te 2.89-2.92
Ti 0.8594 0.5000 0.3259  4 Te 2.67-2.87, 2 Zn 2.80
Ti 0.8594 0.0000 0.8259  4 Te 2.67-2.87, 2 Zn 2.80
Ti 0.7383 0.5000 0.9890  4 Zn 2.68-2.90, 4 Te 2.89-2.92
Zn 0.1216 0.0000 0.0837  2 Zn 2.55, 2 Ti 2.79, 1 Te 2.84
Zn 0.1216 0.5000 0.5837  2 Zn 2.55, 2 Ti 2.79, 1 Te 2.84
Zn 0.1964 0.0000 0.4588  2 Zn 2.55, 3 Ti 2.68-2.80, 2 Te 2.79
Zn 0.1964 0.5000 0.9588  2 Zn 2.55, 3 Ti 2.68-2.80, 2 Te 2.79


Entry 6:
Crystalline HoErCoRu at its relaxed geometry, computed with PBE-GGA.

Output
Crystal system ... orthorhombic
Distance to the lowest polymorph of the same formula ... 6 meV/atom
Space-group type ... Pmmm, No. 47
Formation energy ... -0.28 eV/atom

a = 3.3452 Å, b = 4.7355 Å, c = 4.7296 Å
α = 90.00°, β = 90.00°, γ = 90.00°
Last column: nearest neighbours and their distance in Å.
Element x y z (fractional)
Ho 0.5000 0.5000 0.0000  4 Co 2.90, 4 Ru 2.90
Ru 0.0000 0.0000 0.0000  4 Er 2.90, 4 Ho 2.90
Er 0.5000 0.0000 0.5000  4 Ru 2.90, 4 Co 2.90
Co 0.0000 0.5000 0.5000  4 Ho 2.90, 4 Er 2.90


Entry 7:
Crystalline FeGeN at its relaxed geometry, computed with PBE-GGA.

Output
Energy relative to the elements, uncorrected ... 167.7 meV/atom
Crystal system ... triclinic
Distance to the lowest polymorph of the same formula ... 0 meV/atom
Space-group type ... P1, No. 1

a = 2.8921 Å, b = 2.8843 Å, c = 6.3721 Å
α = 76.55°, β = 89.91°, γ = 119.89°
Last column: nearest neighbours and their distance in Å.
Element x y z (fractional)
N 0.8601 0.4298 0.8808  3 Fe 1.75-1.76
Ge 0.0290 0.7727 0.3674  1 Fe 2.44
Fe 0.1648 0.0375 0.9698  3 N 1.75-1.76


Entry 8:
Crystalline RbSbPb3 at its relaxed geometry, computed with PBE-GGA.

Output
Energy relative to the elements, uncorrected ... -82.3 meV/atom
Crystal system ... tetragonal
Distance to the lowest polymorph of the same formula ... 71 meV/atom
Space-group type ... P4mm, No. 99

a = 5.1529 Å, b = 5.1529 Å, c = 7.1259 Å
α = 90.00°, β = 90.00°, γ = 90.00°
Last column: nearest neighbours and their distance in Å.
Element x y z (fractional)
Pb 0.5000 0.0000 0.3488  2 Sb 3.30, 6 Pb 3.31-3.64
Pb 0.0000 0.5000 0.3488  2 Sb 3.30, 6 Pb 3.31-3.64
Pb 0.0000 0.0000 0.6408  1 Sb 2.99, 4 Pb 3.31
Sb 0.0000 0.0000 0.0599  5 Pb 2.99-3.30
Rb 0.5000 0.5000 0.8654  4 Sb 3.90, 8 Pb 3.98-4.30


Entry 9:
Crystalline Ba2SrSbH at its relaxed geometry, computed with PBE-GGA.

Output
Crystal system ... tetragonal
Space-group type ... P4/mmm, No. 123

a = 5.4022 Å, b = 5.4022 Å, c = 5.5025 Å
α = 90.00°, β = 90.00°, γ = 90.00°
Last column: nearest neighbours and their distance in Å.
Element x y z (fractional)
H 0.0000 0.0000 0.0000  4 Ba 2.70, 2 Sr 2.75
Sb 0.5000 0.5000 0.5000  4 Sr 3.82, 8 Ba 3.86
Ba 0.5000 0.0000 0.0000  2 H 2.70
Ba 0.0000 0.5000 0.0000  2 H 2.70
Sr 0.0000 0.0000 0.5000  2 H 2.75


Entry 10:
Crystalline In2HCl at its relaxed geometry, computed with PBE-GGA.

Output
Crystal system ... cubic
Distance to the lowest polymorph of the same formula ... 95 meV/atom
Space-group type ... Fm-3m, No. 225

a = 5.1347 Å, b = 5.1347 Å, c = 5.1347 Å
α = 60.00°, β = 60.00°, γ = 60.00°
Last column: nearest neighbours and their distance in Å.
Element x y z (fractional)
H 0.0000 0.0000 0.0000  8 In 3.14
Cl 0.5000 0.5000 0.5000  8 In 3.14
In 0.7500 0.7500 0.7500  4 Cl 3.14, 4 H 3.14
In 0.2500 0.2500 0.2500  4 Cl 3.14, 4 H 3.14


Entry 11:
Crystalline Ho2SbIr at its relaxed geometry, computed with PBE-GGA.

Output
Energy relative to the elements, uncorrected ... -727.6 meV/atom
Crystal system ... trigonal
Distance to the lowest polymorph of the same formula ... 236 meV/atom
Space-group type ... R-3m, No. 166

a = 4.1894 Å, b = 4.1894 Å, c = 7.2668 Å
α = 73.25°, β = 73.25°, γ = 60.00°
Last column: nearest neighbours and their distance in Å.
Element x y z (fractional)
Ir 0.5000 0.5000 0.5000  6 Ho 2.84
Sb 0.0000 0.0000 0.0000  6 Ho 3.09
Ho 0.7605 0.7605 0.7185  3 Ir 2.84, 3 Sb 3.09
Ho 0.2395 0.2395 0.2815  3 Ir 2.84, 3 Sb 3.09


Entry 12:
Crystalline K4Sm3AsS8 at its relaxed geometry, computed with PBE-GGA.

Output
Energy relative to the elements, uncorrected ... -1514.7 meV/atom
Crystal system ... trigonal
Space-group type ... R-3m, No. 166

a = 8.1624 Å, b = 8.7451 Å, c = 8.1626 Å
α = 117.83°, β = 120.00°, γ = 90.00°
Last column: nearest neighbours and their distance in Å.
Element x y z (fractional)
K 0.5000 0.0000 0.0000  6 S 3.31
K 0.5000 0.0000 0.5000  6 S 3.19-3.20
K 0.0000 0.0000 0.0000  6 S 3.19-3.20
K 0.0000 0.0000 0.5000  6 S 3.19-3.20
S 0.7359 0.7076 0.4718  3 Sm 2.81
S 0.2641 0.2924 0.5282  3 Sm 2.81
S 0.2516 0.3006 0.0261  1 As 2.69, 2 Sm 2.82
S 0.7484 0.6994 0.9739  1 As 2.69, 2 Sm 2.82
S 0.7745 0.3006 0.0261  1 As 2.69, 2 Sm 2.82
S 0.2255 0.6994 0.4511  1 As 2.69, 2 Sm 2.82
S 0.2255 0.6994 0.9739  1 As 2.69, 2 Sm 2.82
S 0.7745 0.3006 0.5489  1 As 2.69, 2 Sm 2.82
As 0.0000 0.5000 0.0000  6 S 2.69
Sm 0.5000 0.5000 0.5000  6 S 2.81-2.82
Sm 0.5000 0.5000 0.0000  6 S 2.81-2.82
Sm 0.0000 0.5000 0.5000  6 S 2.81-2.82


Entry 13:
Crystalline K2SrNpSe4 at its relaxed geometry, computed with PBE-GGA.

Output
Energy relative to the elements, uncorrected ... -1437.8 meV/atom
Crystal system ... monoclinic
Space-group type ... P2/m, No. 10

a = 4.3699 Å, b = 8.0368 Å, c = 7.6125 Å
α = 71.93°, β = 90.00°, γ = 90.00°
Last column: nearest neighbours and their distance in Å.
Element x y z (fractional)
K 0.0000 0.0000 0.0000  6 Se 3.46-3.52
K 0.5000 0.0000 0.5000  6 Se 3.27-3.29
Se 0.0000 0.7100 0.7357  1 Np 2.82, 2 Sr 3.09
Se 0.5000 0.2960 0.7141  2 Np 2.91, 1 Sr 3.10
Se 0.0000 0.2900 0.2643  1 Np 2.82, 2 Sr 3.09
Se 0.5000 0.7040 0.2859  2 Np 2.91, 1 Sr 3.10
Np 0.0000 0.5000 0.5000  6 Se 2.82-2.91
Sr 0.5000 0.5000 0.0000  6 Se 3.09-3.10


Entry 14:
Crystalline BP2PtN at its relaxed geometry, computed with PBE-GGA.

Output
Energy relative to the elements, uncorrected ... 473.2 meV/atom
Crystal system ... tetragonal
Space-group type ... P4/mmm, No. 123

a = 4.7806 Å, b = 2.7349 Å, c = 4.7806 Å
α = 90.00°, β = 90.00°, γ = 90.00°
Last column: nearest neighbours and their distance in Å.
Element x y z (fractional)
Pt 0.5000 0.5000 0.5000  2 Pt 2.73, 8 P 2.75
P 0.0000 0.0000 0.5000  2 B 2.39
P 0.5000 0.0000 0.0000  2 B 2.39
B 0.0000 0.0000 0.0000  2 N 1.37
N 0.0000 0.5000 0.0000  2 B 1.37


Entry 15:
Crystalline Tb8IrPt2 at its relaxed geometry, computed with PBE-GGA.

Output
Crystal system ... monoclinic
Distance to the lowest polymorph of the same formula ... 0 meV/atom
Space-group type ... C2/m, No. 12
Formation energy ... -0.66 eV/atom

a = 5.0092 Å, b = 6.7832 Å, c = 9.0676 Å
α = 103.17°, β = 106.03°, γ = 90.00°
Last column: nearest neighbours and their distance in Å.
Element x y z (fractional)
Ir 0.5000 0.0000 0.0000  8 Tb 2.92-3.02
Tb 0.0335 0.7888 0.0670  1 Pt 2.89, 2 Ir 3.01
Tb 0.6645 0.9703 0.3289  3 Pt 2.84-3.10, 1 Ir 2.92
Tb 0.3355 0.0297 0.6711  3 Pt 2.84-3.10, 1 Ir 2.92
Tb 0.9665 0.2112 0.9330  1 Pt 2.89, 2 Ir 3.01
Tb 0.4111 0.5599 0.8222  1 Ir 3.02
Tb 0.2057 0.3214 0.4114  3 Pt 2.82-3.14
Tb 0.7943 0.6786 0.5886  3 Pt 2.82-3.14
Tb 0.5889 0.4401 0.1778  1 Ir 3.02
Pt 0.8081 0.2729 0.6161  7 Tb 2.82-3.14
Pt 0.1919 0.7271 0.3839  7 Tb 2.82-3.14


Entry 16:
Crystalline TiGeSb2I at its relaxed geometry, computed with PBE-GGA.

Output
Energy relative to the elements, uncorrected ... 407.6 meV/atom
Crystal system ... tetragonal
Distance to the lowest polymorph of the same formula ... 0 meV/atom
Space-group type ... P4/mmm, No. 123

a = 5.3753 Å, b = 5.3753 Å, c = 5.2860 Å
α = 90.00°, β = 90.00°, γ = 90.00°
Last column: nearest neighbours and their distance in Å.
Element x y z (fractional)
Ge 0.5000 0.5000 0.5000  8 Sb 3.77, 4 I 3.80
Sb 0.5000 0.0000 0.0000  2 Ti 2.69
Sb 0.0000 0.5000 0.0000  2 Ti 2.69
I 0.0000 0.0000 0.5000  2 Ti 2.64
Ti 0.0000 0.0000 0.0000  2 I 2.64, 4 Sb 2.69


Entry 17:
Crystalline NdPa2H at its relaxed geometry, computed with PBE-GGA.

Output
Crystal system ... trigonal
Space-group type ... R-3m, No. 166

a = 3.2132 Å, b = 3.2132 Å, c = 9.8292 Å
α = 80.59°, β = 80.59°, γ = 60.00°
Last column: nearest neighbours and their distance in Å.
Element x y z (fractional)
H 0.5000 0.5000 0.5000  6 Pa 2.42
Pa 0.8868 0.8868 0.3396  3 H 2.42
Pa 0.1132 0.1132 0.6604  3 H 2.42
Nd 0.0000 0.0000 0.0000  6 Nd 3.21, 2 Pa 3.28


Entry 18:
Crystalline SmPu2Au8 at its relaxed geometry, computed with PBE-GGA.

Output
Crystal system ... monoclinic
Space-group type ... C2/m, No. 12
Formation energy ... -0.48 eV/atom

a = 5.2581 Å, b = 6.0237 Å, c = 8.6739 Å
α = 110.89°, β = 108.29°, γ = 88.23°
Last column: nearest neighbours and their distance in Å.
Element x y z (fractional)
Pu 0.6852 0.6852 0.3705  12 Au 3.02-3.23
Pu 0.3148 0.3148 0.6295  12 Au 3.02-3.23
Au 0.1473 0.3608 0.2634  5 Au 2.77-3.05
Au 0.2994 0.7994 0.5987  4 Pu 3.02-3.16, 6 Au 3.04-3.26, 1 Sm 3.08
Au 0.1160 0.9026 0.2634  5 Au 2.77-3.05
Au 0.8840 0.0974 0.7366  5 Au 2.77-3.05
Au 0.2510 0.5099 0.0000  4 Au 2.62-2.89
Au 0.7006 0.2006 0.4013  4 Pu 3.02-3.16, 6 Au 3.04-3.26, 1 Sm 3.08
Au 0.7490 0.4901 0.0000  4 Au 2.62-2.89
Au 0.8527 0.6392 0.7366  5 Au 2.77-3.05
Sm 0.5000 0.0000 0.0000  6 Au 3.08-3.30


Entry 19:
Crystalline AcPmGaGe at its relaxed geometry, computed with PBE-GGA.

Output
Crystal system ... orthorhombic
Distance to the lowest polymorph of the same formula ... 0 meV/atom
Space-group type ... Amm2, No. 38
Formation energy ... -0.68 eV/atom

a = 4.5732 Å, b = 4.2046 Å, c = 6.2803 Å
α = 90.00°, β = 111.35°, γ = 90.00°
Last column: nearest neighbours and their distance in Å.
Element x y z (fractional)
Ac 0.7474 0.5000 0.4949  4 Ge 3.24, 3 Ga 3.26-3.46
Ge 0.3268 0.0000 0.6535  2 Ga 2.68
Pm 0.0265 0.0000 0.0529  4 Ga 3.18, 3 Ge 3.27-3.51
Ga 0.4690 0.5000 0.9379  2 Ge 2.68


Entry 20:
Crystalline CuAg10Pb3O12 at its relaxed geometry, computed with PBE-GGA.

Output
Energy relative to the elements, uncorrected ... -402.5 meV/atom
Crystal system ... monoclinic
Space-group type ... C2, No. 5

a = 8.7651 Å, b = 8.7651 Å, c = 5.9028 Å
α = 70.27°, β = 70.27°, γ = 71.63°
Last column: nearest neighbours and their distance in Å.
Element x y z (fractional)
O 0.8467 0.9624 0.2791  2 Ag 2.15-2.33, 2 Pb 2.26-2.28
O 0.6435 0.5380 0.7308  1 Cu 2.09, 2 Ag 2.14-2.28, 1 Pb 2.24
O 0.1598 0.0347 0.2161  2 Ag 2.15-2.33, 2 Pb 2.26
O 0.4620 0.3565 0.2692  1 Cu 2.09, 2 Ag 2.14-2.28, 1 Pb 2.24
O 0.1727 0.6439 0.2155  1 Cu 2.11, 2 Ag 2.14-2.28, 1 Pb 2.22
O 0.0376 0.1533 0.7209  2 Ag 2.15-2.33, 2 Pb 2.26-2.28
O 0.9653 0.8402 0.7839  2 Ag 2.15-2.33, 2 Pb 2.26
O 0.3561 0.8273 0.7845  1 Cu 2.11, 2 Ag 2.14-2.28, 1 Pb 2.22
O 0.3408 0.4765 0.8052  1 Cu 2.07, 2 Ag 2.13-2.30, 1 Pb 2.24
O 0.6491 0.1578 0.7158  2 Ag 2.15-2.33, 2 Pb 2.25-2.30
O 0.8422 0.3509 0.2842  2 Ag 2.15-2.33, 2 Pb 2.25-2.30
O 0.5235 0.6592 0.1948  1 Cu 2.07, 2 Ag 2.13-2.30, 1 Pb 2.24
Ag 0.2521 0.2551 0.5013  2 O 2.14-2.15
Ag 0.3933 0.8819 0.3650  3 O 2.28-2.33
Ag 0.2554 0.2532 0.0030  2 O 2.13-2.15
Ag 0.8780 0.3890 0.8600  3 O 2.28-2.33
Ag 0.7468 0.7446 0.9970  2 O 2.13-2.15
Ag 0.4975 0.9964 0.7502  2 O 2.14-2.15
Ag 0.0036 0.5025 0.2498  2 O 2.14-2.15
Ag 0.6110 0.1220 0.1400  3 O 2.28-2.33
Ag 0.1181 0.6067 0.6350  3 O 2.28-2.33
Ag 0.7449 0.7479 0.4987  2 O 2.14-2.15
Cu 0.4185 0.5815 0.0000  6 O 2.07-2.11
Pb 0.9146 0.0854 0.5000  6 O 2.25-2.26
Pb 0.5705 0.4295 0.5000  6 O 2.24-2.30
Pb 0.0964 0.9036 0.0000  6 O 2.22-2.28


E list, top to bottom, in eV per atom: -3.12 -3.13 -7.38 -1.68 -4.35 -6.67 -6.97 -3.33 -3.11 -2.65 -6.26 -5.03 -5.28 -5.90 -5.93 -4.05 -6.61 -5.89 -4.81 -4.37